No. 1
GGA-PBE Pa2NbOs, optimized geometry; DOS(E_F) = 6.333 states/eV per cell; energy above the lowest structure with this stoichiometry = 0.0170 eV per atom; formation energy from the elements = 0.13 eV/f.u.
1.0
4.838 0.000 0.000
0.000 4.838 0.000
0.000 0.000 3.619
Pa Nb Os
2 1 1
Direct
0.000 0.500 0.000 Pa
0.500 0.000 0.000 Pa
0.000 0.000 0.500 Nb
0.500 0.500 0.500 Os

No. 2
GGA-PBE AgGeSe2N, optimized geometry; formation energy from raw total energies = 5.4 eV/f.u.; DOS(E_F) = 4.385 states/eV per cell; energy above the lowest structure with this stoichiometry = 0.3754 eV per atom
1.0
5.229 0.000 0.000
0.000 5.229 0.000
0.000 0.000 3.990
Ag Ge Se N
1 1 2 1
Direct
0.000 0.000 0.000 Ag
0.500 0.500 0.500 Ge
0.000 0.500 0.000 Se
0.500 0.000 0.000 Se
0.000 0.000 0.500 N

No. 3
GGA-PBE TlIn2Se2, optimized geometry; formation energy from raw total energies = -1.8 eV/f.u.; DOS(E_F) = 1.465 states/eV per cell; energy above the lowest structure with this stoichiometry = 0.0000 eV per atom
1.0
6.634 0.000 0.000
2.900 6.114 0.000
1.513 -0.214 7.240
Tl In Se
2 4 4
Direct
0.102 0.217 0.419 Tl
0.898 0.783 0.581 Tl
0.289 0.038 0.918 In
0.368 0.447 0.800 In
0.632 0.553 0.200 In
0.711 0.962 0.082 In
0.174 0.727 0.136 Se
0.415 0.793 0.602 Se
0.585 0.207 0.398 Se
0.826 0.273 0.864 Se

No. 4
GGA-PBE PmPuAgPt, optimized geometry; DOS(E_F) = 46.071 states/eV per cell; formation energy from the elements = -1.90 eV/f.u.
1.0
7.227 0.000 0.000
0.000 7.227 0.000
0.000 0.000 7.227
Pm Pu Ag Pt
4 4 4 4
Direct
0.000 0.000 0.000 Pm
0.000 0.500 0.500 Pm
0.500 0.000 0.500 Pm
0.500 0.500 0.000 Pm
0.000 0.000 0.500 Pu
0.000 0.500 0.000 Pu
0.500 0.000 0.000 Pu
0.500 0.500 0.500 Pu
0.250 0.250 0.750 Ag
0.250 0.750 0.250 Ag
0.750 0.250 0.250 Ag
0.750 0.750 0.750 Ag
0.250 0.250 0.250 Pt
0.250 0.750 0.750 Pt
0.750 0.250 0.750 Pt
0.750 0.750 0.250 Pt

No. 5
GGA-PBE Tc2Sb, optimized geometry; formation energy from raw total energies = 1.4 eV/f.u.; DOS(E_F) = 6.466 states/eV per cell; energy above the lowest structure with this stoichiometry = 0.3713 eV per atom
1.0
0.000 3.750 3.750
3.750 0.000 3.750
3.750 3.750 0.000
Tc Sb
4 2
Direct
0.000 0.000 0.000 Tc
0.000 0.000 0.500 Tc
0.000 0.500 0.000 Tc
0.500 0.000 0.000 Tc
0.375 0.375 0.375 Sb
0.625 0.625 0.625 Sb

No. 6
GGA-PBE PmSm8Ho6, optimized geometry; DOS(E_F) = 22.470 states/eV per cell; formation energy from the elements = 1.93 eV/f.u.
1.0
4.543 2.623 6.936
-4.543 2.623 6.936
0.000 -5.246 6.936
Pm Sm Ho
1 8 6
Direct
0.000 0.000 0.000 Pm
0.112 0.749 0.718 Sm
0.251 0.282 0.888 Sm
0.282 0.888 0.251 Sm
0.423 0.423 0.423 Sm
0.577 0.577 0.577 Sm
0.718 0.112 0.749 Sm
0.749 0.718 0.112 Sm
0.888 0.251 0.282 Sm
0.099 0.245 0.537 Ho
0.245 0.537 0.099 Ho
0.463 0.901 0.755 Ho
0.537 0.099 0.245 Ho
0.755 0.463 0.901 Ho
0.901 0.755 0.463 Ho

No. 7
GGA-PBE BaNi2Ir, optimized geometry; DOS(E_F) = 11.908 states/eV per cell; energy above the lowest structure with this stoichiometry = 0.8832 eV per atom; formation energy from the elements = 3.09 eV/f.u.
1.0
4.148 0.000 0.000
0.000 4.148 0.000
0.000 0.000 8.389
Ba Ni Ir
2 4 2
Direct
0.000 0.000 0.000 Ba
0.500 0.500 0.500 Ba
0.000 0.000 0.500 Ni
0.000 0.500 0.250 Ni
0.500 0.000 0.750 Ni
0.500 0.500 0.000 Ni
0.000 0.500 0.750 Ir
0.500 0.000 0.250 Ir

No. 8
GGA-PBE MgTlAgCl6, optimized geometry; formation energy from raw total energies = -9.0 eV/f.u.
1.0
6.577 0.000 0.000
-3.289 5.696 0.000
0.000 0.000 12.218
Mg Tl Ag Cl
2 2 2 12
Direct
0.333 0.667 0.250 Mg
0.667 0.333 0.750 Mg
0.333 0.667 0.750 Tl
0.667 0.333 0.250 Tl
0.000 0.000 0.000 Ag
0.000 0.000 0.500 Ag
0.013 0.358 0.131 Cl
0.013 0.655 0.369 Cl
0.345 0.358 0.369 Cl
0.345 0.987 0.131 Cl
0.358 0.013 0.631 Cl
0.358 0.345 0.869 Cl
0.642 0.655 0.131 Cl
0.642 0.987 0.369 Cl
0.655 0.013 0.869 Cl
0.655 0.642 0.631 Cl
0.987 0.345 0.631 Cl
0.987 0.642 0.869 Cl